No. 1
Density functional theory data (PBE-GGA) for PmMgPd after structural relaxation.

```
12
Lattice="-1.764 3.173 -6.309 -0.574 -3.879 -1.790 -8.353 0.129 2.400" Properties=species:S:1:pos:R:3 pbc="T T T"
Mg -9.111 1.166 -2.196
Mg -5.062 -0.470 0.048
Mg -1.580 -1.742 -3.502
Mg -5.629 -0.106 -5.747
Pd -6.655 1.494 -3.696
Pd -2.762 -0.517 -5.777
Pd -4.035 -2.070 -2.003
Pd -7.928 -0.059 0.078
Pm -1.728 -0.815 -0.275
Pm -6.927 -1.366 -2.601
Pm -3.764 0.790 -3.098
Pm -8.962 0.238 -5.424
```

## Properties
The value obtained for the energy above the most stable polymorph in this dataset is 0.0000 eV/atom. Its crystal system is orthorhombic.

***

No. 2
Density functional theory data (PBE-GGA) for PmMgPd after structural relaxation.

```
3
Lattice="3.723 1.447 2.823 -0.292 4.217 2.460 -0.465 -0.036 4.868" Properties=species:S:1:pos:R:3 pbc="T T T"
Pm 0.000 0.000 0.000
Pd 2.224 4.220 7.613
Mg 0.741 1.407 2.538
```

## Properties
The value obtained for the energy above the most stable polymorph in this dataset is 0.7868 eV/atom. Its crystal system is cubic.

***

No. 3
Density functional theory data (PBE-GGA) for PrMgPd after structural relaxation.

```
3
Lattice="0.000 3.415 3.415 3.415 0.000 3.415 3.415 3.415 0.000" Properties=species:S:1:pos:R:3 pbc="T T T"
Pd 1.708 1.708 1.708
Mg 3.415 3.415 3.415
Pr 0.000 0.000 0.000
```

## Properties
Its crystal system is cubic. For the calculated total energy, the calculation gives -4.31 eV per atom.

***

No. 4
Density functional theory data (PBE-GGA) for PrMgPd after structural relaxation.

```
3
Lattice="3.273 -3.299 -1.693 -1.571 -4.264 -1.952 0.419 -0.796 -4.863" Properties=species:S:1:pos:R:3 pbc="T T T"
Pd 1.591 -6.269 -6.381
Mg 0.530 -2.090 -2.127
Pr 0.000 0.000 0.000
```

## Properties
Its crystal system is cubic. For the calculated total energy, the calculation gives -3.68 eV per atom.

***

No. 5
Density functional theory data (PBE-GGA) for Pr3Mg3Pd2Pt after structural relaxation.

```
9
Lattice="-0.897 6.331 -4.202 -3.252 -0.499 6.908 3.408 1.626 1.722" Properties=species:S:1:pos:R:3 pbc="T T T"
Pr -0.528 3.729 -2.475
Pr -1.706 2.397 1.112
Pr -1.915 -0.294 4.068
Mg -1.463 5.263 2.926
Mg 0.934 0.695 2.497
Mg 1.491 2.313 -0.134
Pd 0.022 4.867 0.362
Pd -0.763 2.590 4.066
Pt 0.000 0.000 0.000
```

## Properties
Its crystal system is hexagonal. For the calculated total energy, the calculation gives -4.65 eV per atom.

***

No. 6
Density functional theory data (PBE-GGA) for Pr3Mg3ZnPd2 after structural relaxation.

```
9
Lattice="-3.394 -4.653 5.098 7.091 2.659 1.345 -1.627 3.342 1.968" Properties=species:S:1:pos:R:3 pbc="T T T"
Pd 2.782 1.893 3.580
Pd -0.712 -0.545 4.831
Mg -1.642 0.535 2.229
Mg 1.981 0.164 5.854
Mg 0.918 2.320 1.312
Pr 4.134 1.550 0.784
Pr 1.541 -0.831 2.686
Pr -1.979 -2.713 2.972
Zn 0.000 0.000 0.000
```

## Properties
Its crystal system is hexagonal. For the calculated total energy, the calculation gives -3.91 eV per atom.

***

No. 7
Density functional theory data (PBE-GGA) for MgPdPt after structural relaxation.

```
6
Lattice="4.694 0.000 0.000 0.000 2.909 0.000 -0.914 0.000 6.824" Properties=species:S:1:pos:R:3 pbc="T T T"
Pd 0.239 0.000 1.327
Pd 0.958 0.000 5.836
Pt 2.582 1.454 1.339
Pt 3.289 0.000 3.667
Mg 3.311 1.454 5.935
Mg 0.928 1.454 3.561
```

## Properties
The value obtained for the energy above the most stable polymorph in this dataset is 0.0000 eV/atom. Its crystal system is monoclinic.

***

No. 8
Density functional theory data (PBE-GGA) for Mg2PdPt after structural relaxation.

```
16
Lattice="6.080 0.000 0.000 0.000 6.933 0.000 0.000 0.000 6.030" Properties=species:S:1:pos:R:3 pbc="T T T"
Pt 4.561 5.199 3.015
Pt 1.521 1.733 0.000
Pt 4.559 5.199 0.000
Pt 1.519 1.733 3.015
Pd 1.521 5.199 6.028
Pd 4.561 1.733 3.017
Pd 4.558 1.733 0.002
Pd 1.519 5.199 3.013
Mg 3.040 3.467 1.507
Mg 0.000 3.465 1.508
Mg 0.000 3.467 4.522
Mg 3.040 6.932 1.507
Mg 0.000 0.001 1.508
Mg 3.039 3.465 4.523
Mg 0.000 6.932 4.522
Mg 3.039 0.001 4.523
```

## Properties
The value obtained for the energy above the most stable polymorph in this dataset is 0.0040 eV/atom. Its crystal system is orthorhombic.

***

No. 9
Density functional theory data (PBE-GGA) for MgPdPt after structural relaxation.

```
6
Lattice="-1.459 1.459 11.488 1.459 -1.459 11.488 1.459 1.459 -11.488" Properties=species:S:1:pos:R:3 pbc="T T T"
Mg 0.000 0.000 14.494
Mg 0.000 0.000 8.482
Pd 0.000 0.000 1.309
Pd 0.000 0.000 21.666
Pt 0.000 0.000 18.226
Pt 0.000 0.000 4.749
```

## Properties
The value obtained for the energy above the most stable polymorph in this dataset is 0.1799 eV/atom. Its crystal system is tetragonal.

***

No. 10
Density functional theory data (PBE-GGA) for MgPdPt after structural relaxation.

```
3
Lattice="0.865 1.376 4.026 -1.565 3.809 1.376 -3.152 0.101 2.984" Properties=species:S:1:pos:R:3 pbc="T T T"
Pd -2.889 3.964 6.290
Mg -0.963 1.321 2.097
Pt 0.000 0.000 0.000
```

## Properties
The value obtained for the energy above the most stable polymorph in this dataset is 0.3690 eV/atom. Its crystal system is cubic.

***

No. 11
Density functional theory data (PBE-GGA) for Mg2PdPt after structural relaxation.

```
24
Lattice="4.318 0.000 0.000 0.000 6.818 0.000 0.000 0.000 12.953" Properties=species:S:1:pos:R:3 pbc="T T T"
Pd 0.000 3.409 4.318
Pd 2.159 0.000 2.159
Pd 0.000 3.409 8.635
Pd 2.159 0.000 10.794
Pd 2.159 0.000 6.477
Pd 0.000 3.409 0.000
Pt 2.159 3.409 2.159
Pt 0.000 0.000 4.318
Pt 2.159 3.409 10.794
Pt 0.000 0.000 8.635
Pt 0.000 0.000 0.000
Pt 2.159 3.409 6.477
Mg 2.159 5.113 4.318
Mg 0.000 5.113 2.159
Mg 0.000 1.704 10.794
Mg 2.159 1.704 0.000
Mg 2.159 1.704 4.318
Mg 2.159 5.113 0.000
Mg 0.000 1.704 2.159
Mg 2.159 1.704 8.635
Mg 2.159 5.113 8.635
Mg 0.000 5.113 10.794
Mg 0.000 5.113 6.477
Mg 0.000 1.704 6.477
```

## Properties
The value obtained for the energy above the most stable polymorph in this dataset is 0.0000 eV/atom. Its crystal system is tetragonal.

***

No. 12
Density functional theory data (PBE-GGA) for Mg2PdPt after structural relaxation.

```
16
Lattice="-0.385 4.217 -4.424 2.981 -2.360 -2.509 -6.862 -4.621 -3.807" Properties=species:S:1:pos:R:3 pbc="T T T"
Mg -5.455 -2.527 -6.172
Mg 1.382 -2.346 -2.356
Mg -2.242 -2.548 -6.471
Mg -2.049 -4.656 -4.259
Mg 1.189 -0.237 -4.568
Mg -2.024 -0.217 -4.269
Mg -1.831 -2.325 -2.057
Mg -5.263 -4.636 -3.960
Pt -4.054 -2.649 -8.529
Pt -0.623 -0.338 -6.626
Pt -3.643 -2.426 -4.114
Pt -0.212 -0.116 -2.211
Pd -3.861 -4.757 -6.317
Pd -0.430 -2.446 -4.413
Pd -0.405 1.992 -4.423
Pd -3.837 -0.318 -6.327
```

## Properties
The value obtained for the energy above the most stable polymorph in this dataset is 0.0038 eV/atom. Its crystal system is orthorhombic.

***

No. 13
Density functional theory data (PBE-GGA) for Mg2PdPt5 after structural relaxation.

```
16
Lattice="5.612 0.000 0.000 0.000 11.219 0.000 0.000 0.000 3.958" Properties=species:S:1:pos:R:3 pbc="T T T"
Pt 1.433 1.419 1.979
Pt 5.564 8.405 0.000
Pt 2.806 0.000 0.000
Pt 1.372 7.029 1.979
Pt 2.853 2.796 0.000
Pt 2.758 8.424 0.000
Pt 4.239 4.191 1.979
Pt 0.000 5.610 0.000
Pt 4.178 9.800 1.979
Pt 0.047 2.814 0.000
Pd 0.000 0.000 0.000
Pd 2.806 5.610 0.000
Mg 1.369 9.832 1.979
Mg 4.243 1.387 1.979
Mg 4.175 6.997 1.979
Mg 1.437 4.223 1.979
```

## Properties
Its crystal system is orthorhombic. For the calculated total energy, the calculation gives -5.40 eV per atom.

***

No. 14
Density functional theory data (PBE-GGA) for MgPdPt2S6 after structural relaxation.

```
10
Lattice="-0.140 4.319 5.933 -3.886 -6.053 1.460 3.051 -1.651 1.274" Properties=species:S:1:pos:R:3 pbc="T T T"
Mg -2.013 -0.867 3.697
Pt 1.456 1.334 3.604
Pt -0.418 -3.852 1.367
S -1.307 -1.656 0.983
S -0.372 0.933 2.099
S -3.654 -2.667 5.294
S -1.077 -3.323 3.630
S -2.719 -0.078 6.410
S 0.101 -0.062 5.037
Pd 0.000 0.000 0.000
```

## Properties
Its crystal system is orthorhombic. For the calculated total energy, the calculation gives -4.82 eV per atom.

***

No. 15
Density functional theory data (PBE-GGA) for MgSbPdPt4 after structural relaxation.

```
7
Lattice="3.990 0.000 0.000 0.000 3.990 0.000 0.000 0.000 7.625" Properties=species:S:1:pos:R:3 pbc="T T T"
Sb 1.995 1.995 3.813
Pt 1.995 0.000 1.983
Pt 1.995 0.000 5.642
Pt 0.000 1.995 5.642
Pt 0.000 1.995 1.983
Mg 0.000 0.000 0.000
Pd 1.995 1.995 0.000
```

## Properties
Its crystal system is tetragonal. For the calculated total energy, the calculation gives -5.51 eV per atom.

***

No. 16
Density functional theory data (PBE-GGA) for MgSbPd4Pt after structural relaxation.

```
7
Lattice="4.013 0.000 0.000 0.000 4.013 0.000 0.000 0.000 7.470" Properties=species:S:1:pos:R:3 pbc="T T T"
Pt 2.007 2.007 0.000
Pd 2.007 0.000 5.494
Pd 0.000 2.007 1.976
Pd 0.000 2.007 5.494
Pd 2.007 0.000 1.976
Mg 0.000 0.000 0.000
Sb 2.007 2.007 3.735
```

## Properties
Its crystal system is tetragonal. For the calculated total energy, the calculation gives -5.15 eV per atom.

***

No. 17
Density functional theory data (PBE-GGA) for Mg3Sc3Pd2Pt after structural relaxation.

```
9
Lattice="7.141 0.000 0.000 -3.571 6.184 0.000 0.000 0.000 3.938" Properties=species:S:1:pos:R:3 pbc="T T T"
Sc 4.259 0.000 0.000
Sc -2.130 3.689 0.000
Sc 1.441 2.496 0.000
Mg 2.667 4.620 1.969
Mg 1.807 0.000 1.969
Mg -0.904 1.565 1.969
Pt 0.000 0.000 0.000
Pd 3.571 2.061 1.969
Pd 0.000 4.123 1.969
```

## Properties
Its crystal system is hexagonal. For the calculated total energy, the calculation gives -5.16 eV per atom.

***

No. 18
Density functional theory data (PBE-GGA) for MgPdPt2Se6 after structural relaxation.

```
10
Lattice="-2.018 6.485 -3.706 -4.911 -1.004 5.894 2.355 2.054 2.312" Properties=species:S:1:pos:R:3 pbc="T T T"
Se -1.295 6.337 -1.043
Se -2.371 0.668 1.822
Se -1.657 2.518 -0.550
Se -3.279 1.198 5.544
Se -4.558 4.813 0.366
Se -5.272 2.963 2.738
Pt 0.168 4.270 -0.697
Pt -1.278 0.525 4.103
Pd -3.465 2.740 1.094
Mg 0.000 0.000 0.000
```

## Properties
Its crystal system is orthorhombic. For the calculated total energy, the calculation gives -4.41 eV per atom.

***

No. 19
Density functional theory data (PBE-GGA) for Mg4Si2PdPt after structural relaxation.

```
8
Lattice="-0.556 1.948 3.797 0.689 -4.245 -0.160 8.450 1.352 0.544" Properties=species:S:1:pos:R:3 pbc="T T T"
Mg 2.825 0.452 0.182
Mg 6.909 1.012 2.932
Mg 1.259 0.108 2.568
Mg 5.625 0.900 0.362
Si 0.274 -2.181 1.159
Si 4.499 -1.505 1.431
Pt 4.084 0.560 2.750
Pd 0.000 0.000 0.000
```

## Properties
Its crystal system is hexagonal. For the calculated total energy, the calculation gives -4.07 eV per atom.

***

No. 20
Density functional theory data (PBE-GGA) for Sm3Mg3Pd2Pt after structural relaxation.

```
9
Lattice="-1.798 7.125 -1.587 -1.984 -2.996 6.603 3.562 1.266 1.645" Properties=species:S:1:pos:R:3 pbc="T T T"
Sm 1.045 3.548 0.173
Sm 0.969 -0.593 3.524
Sm -0.454 3.072 3.786
Pt 1.781 0.633 0.822
Mg -1.504 -2.272 5.006
Mg -0.915 0.999 1.214
Mg -1.363 5.401 -1.203
Pd -1.922 0.377 3.873
Pd -1.860 3.751 1.143
```

## Properties
Its crystal system is hexagonal. For the calculated total energy, the calculation gives -4.66 eV per atom.